# 1
VASP calculation (PBE) on an optimized crystal structure of Rb2SCl.

a = 5.726 Å, b = 5.726 Å, c = 5.726 Å
α = 60.00°, β = 60.00°, γ = 60.00°
Fractional coordinates of all 4 atoms:
Rb: 0.250 0.250 0.250
S: 0.000 0.000 0.000
Cl: 0.500 0.500 0.500
Rb: 0.750 0.750 0.750

Output
The polymorph energy (0 for the lowest one) comes out at 7.8 kJ/mol of atoms. As for the raw total energy: -3.038 eV/atom.

# 2
VASP calculation (PBE) on an optimized crystal structure of RbS3Cl.

a = 11.110 Å, b = 11.110 Å, c = 7.149 Å
α = 44.68°, β = 44.68°, γ = 35.54°
Fractional coordinates of all 10 atoms:
S: 0.065 0.065 0.058
Rb: 0.742 0.742 0.779
Rb: 0.258 0.258 0.221
S: 0.236 0.750 0.727
S: 0.250 0.764 0.273
Cl: 0.733 0.733 0.273
S: 0.935 0.935 0.942
S: 0.750 0.236 0.727
Cl: 0.267 0.267 0.727
S: 0.764 0.250 0.273

Output
The polymorph energy (0 for the lowest one) comes out at 0.0 kJ/mol of atoms. As for the raw total energy: -3.565 eV/atom.

# 3
VASP calculation (PBE) on an optimized crystal structure of RbS3Cl12.

a = 12.487 Å, b = 12.487 Å, c = 13.569 Å
α = 62.60°, β = 62.60°, γ = 60.00°
Fractional coordinates of all 32 atoms:
S: 0.313 0.389 0.519
Cl: 0.896 0.347 0.582
S: 0.779 0.313 0.519
Cl: 0.614 0.338 0.110
Cl: 0.296 0.601 0.464
Rb: 0.584 0.584 0.247
Cl: 0.392 0.897 0.846
Cl: 0.114 0.437 0.610
Rb: 0.084 0.084 0.747
Cl: 0.865 0.392 0.846
Cl: 0.338 0.937 0.110
Cl: 0.101 0.796 0.964
Cl: 0.140 0.101 0.964
Cl: 0.437 0.838 0.610
Cl: 0.397 0.892 0.346
Cl: 0.897 0.865 0.846
Cl: 0.365 0.397 0.346
S: 0.389 0.779 0.519
Cl: 0.674 0.847 0.082
Cl: 0.601 0.640 0.464
Cl: 0.847 0.396 0.082
Cl: 0.937 0.614 0.110
Cl: 0.892 0.365 0.346
Cl: 0.838 0.114 0.610
Cl: 0.796 0.140 0.964
Cl: 0.640 0.296 0.464
Cl: 0.347 0.174 0.582
S: 0.889 0.813 0.019
S: 0.279 0.889 0.019
S: 0.813 0.279 0.019
Cl: 0.396 0.674 0.082
Cl: 0.174 0.896 0.582

Output
As for the raw total energy: -2.506 eV/atom.

# 4
VASP calculation (PBE) on an optimized crystal structure of Rb3SCl.

a = 6.295 Å, b = 6.295 Å, c = 6.295 Å
α = 90.00°, β = 90.00°, γ = 90.00°
Fractional coordinates of all 5 atoms:
S: 0.000 0.000 0.000
Rb: 0.500 0.000 0.000
Rb: 0.000 0.000 0.500
Rb: 0.000 0.500 0.000
Cl: 0.500 0.500 0.500

Output
The polymorph energy (0 for the lowest one) comes out at 10.7 kJ/mol of atoms. As for the raw total energy: -2.964 eV/atom.

# 5
VASP calculation (PBE) on an optimized crystal structure of Rb2SCl6.

a = 6.456 Å, b = 7.054 Å, c = 7.054 Å
α = 60.14°, β = 89.11°, γ = 89.11°
Fractional coordinates of all 9 atoms:
Cl: 0.210 0.842 0.842
Rb: 0.785 0.668 0.668
Cl: 0.790 0.158 0.158
Cl: 0.793 0.688 0.158
Rb: 0.215 0.332 0.332
S: 0.000 0.000 0.000
Cl: 0.793 0.158 0.688
Cl: 0.207 0.312 0.842
Cl: 0.207 0.842 0.312

Output
As for the raw total energy: -2.860 eV/atom.

# 6
VASP calculation (PBE) on an optimized crystal structure of RbS2Cl.

a = 6.367 Å, b = 6.367 Å, c = 6.367 Å
α = 43.85°, β = 43.85°, γ = 43.85°
Fractional coordinates of all 4 atoms:
Cl: 0.500 0.500 0.500
S: 0.180 0.180 0.180
Rb: 0.000 0.000 0.000
S: 0.820 0.820 0.820

Output
The polymorph energy (0 for the lowest one) comes out at 0.0 kJ/mol of atoms. As for the raw total energy: -2.780 eV/atom.

# 7
VASP calculation (PBE) on an optimized crystal structure of RbS6Cl2.

a = 10.844 Å, b = 5.108 Å, c = 5.791 Å
α = 117.23°, β = 81.57°, γ = 102.01°
Fractional coordinates of all 9 atoms:
S: 0.262 0.201 0.552
S: 0.573 0.423 0.221
S: 0.602 0.843 0.260
S: 0.427 0.577 0.779
S: 0.398 0.157 0.740
Rb: 0.000 0.000 0.000
S: 0.738 0.799 0.448
Cl: 0.873 0.269 0.638
Cl: 0.127 0.731 0.362

Output
As for the raw total energy: -3.430 eV/atom.

# 8
VASP calculation (PBE) on an optimized crystal structure of Rb2SCl7.

a = 7.903 Å, b = 7.903 Å, c = 7.204 Å
α = 56.74°, β = 56.74°, γ = 90.00°
Fractional coordinates of all 10 atoms:
Cl: 0.290 0.290 0.000
Cl: 0.251 0.251 0.498
Cl: 0.710 0.710 0.000
Cl: 0.000 0.000 0.000
Cl: 0.290 0.710 0.000
S: 0.500 0.500 0.000
Cl: 0.710 0.290 0.000
Rb: 0.250 0.750 0.500
Cl: 0.749 0.749 0.502
Rb: 0.750 0.250 0.500

Output
As for the raw total energy: -2.679 eV/atom.